Here is a relaxed structure of PuNi12B6 from Alexandria. Energies are from PBE.

The volume is 579 Å³ per cell. Its energy of formation from the pure elements is -0.336 eV/atom.

The space group is R-3m (No. 166, hexagonal axes) and the conventional cell measures 9.5217, 9.5217 and 7.3794 Å, with angles of 90.00, 90.00 and 120.00 degrees. Symmetry generates all atoms from Pu at (0.0000, 0.0000, 0.0000), Ni at (0.0000, 0.3692, 0.5000), Ni at (0.0890, 0.1781, 0.3650) and B at (0.0433, 0.5217, 0.2873).